(i)
Material: Ti2Ni2Rh
Method: DFT, PBE
State: optimized geometry

Calculated values
- spin magnetization (Bohr magnetons per cell) = 0.00
- crystal system = orthorhombic
- ρ (Mg/m³) = 7.2
- space-group type = Cmmm (65)

Unit cell a=3.639 b=3.639 c=5.769 alpha=90.00 beta=90.00 gamma=106.42
Positions (direct):
Ti  0.000  0.000  0.244
Ti  0.000  0.000  0.756
Ni  0.313  0.687  0.500
Ni  0.687  0.313  0.500
Rh  0.500  0.500  0.000

***

(ii)
Material: Ti2Ni2Rh
Method: DFT, PBE
State: optimized geometry

Calculated values
- spin magnetization (Bohr magnetons per cell) = 0.00
- crystal system = tetragonal
- ρ (Mg/m³) = 7.7
- space-group type = P4/mbm (127)

Unit cell a=6.794 b=6.794 c=2.953 alpha=90.00 beta=90.00 gamma=90.00
Positions (direct):
Ti  0.176  0.324  0.000
Ti  0.324  0.824  0.000
Ti  0.676  0.176  0.000
Ti  0.824  0.676  0.000
Ni  0.125  0.625  0.500
Ni  0.375  0.125  0.500
Ni  0.625  0.875  0.500
Ni  0.875  0.375  0.500
Rh  0.000  0.000  0.500
Rh  0.500  0.500  0.500

***

(iii)
Material: Ti2Ni2Rh
Method: DFT, PBE
State: optimized geometry

Calculated values
- spin magnetization (Bohr magnetons per cell) = 0.00
- crystal system = orthorhombic
- ρ (Mg/m³) = 7.6
- space-group type = Cmmm (65)

Unit cell a=7.048 b=7.048 c=2.932 alpha=90.00 beta=90.00 gamma=151.63
Positions (direct):
Ti  0.115  0.885  0.000
Ti  0.885  0.115  0.000
Ni  0.308  0.692  0.500
Ni  0.692  0.308  0.500
Rh  0.500  0.500  0.500

***

(iv)
Material: Ti2Ni2Rh
Method: DFT, PBE
State: optimized geometry

Calculated values
- spin magnetization (Bohr magnetons per cell) = 0.00
- crystal system = tetragonal
- ρ (Mg/m³) = 7.5
- space-group type = P4/mbm (127)

Unit cell a=6.850 b=6.850 c=2.994 alpha=90.00 beta=90.00 gamma=90.00
Positions (direct):
Ti  0.162  0.338  0.000
Ti  0.338  0.838  0.000
Ti  0.662  0.162  0.000
Ti  0.838  0.662  0.000
Ni  0.132  0.632  0.500
Ni  0.368  0.132  0.500
Ni  0.632  0.868  0.500
Ni  0.868  0.368  0.500
Rh  0.000  0.000  0.000
Rh  0.500  0.500  0.000

***

In order of decreasing stability: (ii), (iii), (iv), (i).

***

(i)
Material: TiNi3Rh
Method: DFT, PBE
State: optimized geometry

Calculated values
- spin magnetization (Bohr magnetons per cell) = 0.00
- crystal system = cubic
- ρ (Mg/m³) = 7.2
- space-group type = Pm-3m (221)

Unit cell a=4.217 b=4.217 c=4.217 alpha=90.00 beta=90.00 gamma=90.00
Positions (direct):
Ti  0.000  0.000  0.000
Ni  0.000  0.000  0.500
Ni  0.000  0.500  0.000
Ni  0.500  0.000  0.000
Rh  0.500  0.500  0.500

***

(ii)
Material: TiNi3Rh
Method: DFT, PBE
State: optimized geometry

Calculated values
- spin magnetization (Bohr magnetons per cell) = 0.00
- crystal system = cubic
- ρ (Mg/m³) = 8.3
- space-group type = P2_13 (198)

Unit cell a=6.384 b=6.384 c=6.384 alpha=90.00 beta=90.00 gamma=90.00
Positions (direct):
Ti  0.196  0.196  0.196
Ti  0.304  0.804  0.696
Ti  0.696  0.304  0.804
Ti  0.804  0.696  0.304
Ni  0.050  0.122  0.802
Ni  0.122  0.802  0.050
Ni  0.198  0.550  0.378
Ni  0.302  0.450  0.878
Ni  0.378  0.198  0.550
Ni  0.450  0.878  0.302
Ni  0.550  0.378  0.198
Ni  0.622  0.698  0.950
Ni  0.698  0.950  0.622
Ni  0.802  0.050  0.122
Ni  0.878  0.302  0.450
Ni  0.950  0.622  0.698
Rh  0.054  0.946  0.446
Rh  0.446  0.054  0.946
Rh  0.554  0.554  0.554
Rh  0.946  0.446  0.054

***

In order of decreasing stability: (ii), (i).